Entry from Alexandria via LeMat-Bulk: CoNiRh2 after structural relaxation (PBE-GGA).

POSCAR file:
```
CoNiRh2
1.0
2.6200 0.0000 0.0000
0.0000 4.3529 0.0000
-0.1561 0.0000 4.6274
Co Ni Rh
1 1 2
Direct
0.0000 0.0000 0.0000 Co
0.5000 0.0000 0.5000 Ni
0.2523 0.5000 0.7482 Rh
0.7477 0.5000 0.2518 Rh
```

- E (eV/atom) = -6.677
- energy relative to the lowest polymorph listed for this composition (meV/atom) = 165
- calculated volume (Å³/atom) = 13.19
- M_tot (μB/cell) = 3.71

***

Entry from Alexandria via LeMat-Bulk: Ca2Nd3Hg3 after structural relaxation (PBE-GGA).

POSCAR file:
```
Ca2Nd3Hg3
1.0
3.8218 0.0000 0.0000
0.0000 5.5462 0.0000
0.0000 0.0000 23.2621
Ca Nd Hg
4 6 6
Direct
0.0000 0.0000 0.2249 Ca
0.0000 0.0000 0.7751 Ca
0.5000 0.5000 0.2751 Ca
0.5000 0.5000 0.7249 Ca
0.0000 0.0000 0.0000 Nd
0.0000 0.5000 0.1156 Nd
0.0000 0.5000 0.8844 Nd
0.5000 0.0000 0.3844 Nd
0.5000 0.0000 0.6156 Nd
0.5000 0.5000 0.5000 Nd
0.0000 0.0000 0.5000 Hg
0.0000 0.5000 0.3845 Hg
0.0000 0.5000 0.6155 Hg
0.5000 0.0000 0.1155 Hg
0.5000 0.0000 0.8845 Hg
0.5000 0.5000 0.0000 Hg
```

- E (eV/atom) = -2.726
- calculated volume (Å³/atom) = 30.82
- M_tot (μB/cell) = 3.14